No. 1
Material: GaFeNiW
Method: DFT, PBE
State: optimized geometry

It has space group F-43m (No. 216), with a = 5.910 Å, b = 5.910 Å, c = 5.910 Å, α = 90.00°, β = 90.00° and γ = 90.00°. Symmetry generates all atoms from Ga at (0.000, 0.000, 0.000), Fe at (0.250, 0.250, 0.250), Ni at (0.250, 0.250, 0.750) and W at (0.000, 0.000, 0.500).

=====

No. 2
Material: AgSbOs
Method: DFT, PBE
State: optimized geometry

It has space group F-43m (No. 216), with a = 6.247 Å, b = 6.247 Å, c = 6.247 Å, α = 90.00°, β = 90.00° and γ = 90.00°. Symmetry generates all atoms from Ag at (0.000, 0.000, 0.000), Sb at (0.250, 0.250, 0.250) and Os at (0.000, 0.000, 0.500).

=====

No. 3
Material: LiFeSiAs
Method: DFT, PBE
State: optimized geometry

It has space group F-43m (No. 216), with a = 6.056 Å, b = 6.056 Å, c = 6.056 Å, α = 90.00°, β = 90.00° and γ = 90.00°. Symmetry generates all atoms from Li at (0.000, 0.000, 0.000), Fe at (0.250, 0.250, 0.250), Si at (0.000, 0.000, 0.500) and As at (0.250, 0.250, 0.750).

=====

No. 4
Material: SiPdW
Method: DFT, PBE
State: optimized geometry

It has space group F-43m (No. 216), with a = 5.819 Å, b = 5.819 Å, c = 5.819 Å, α = 90.00°, β = 90.00° and γ = 90.00°. Symmetry generates all atoms from Si at (0.000, 0.000, 0.000), Pd at (0.250, 0.250, 0.750) and W at (0.250, 0.250, 0.250).

=====

No. 5
Material: AcB2Os2
Method: DFT, PBE
State: optimized geometry

It has space group I4/mmm (No. 139), with a = 4.050 Å, b = 4.050 Å, c = 10.493 Å, α = 90.00°, β = 90.00° and γ = 90.00°. Symmetry generates all atoms from Ac at (0.000, 0.000, 0.000), B at (0.000, 0.000, 0.315) and Os at (0.000, 0.500, 0.250).

=====

No. 6
Material: AgPbBrF2
Method: DFT, PBE
State: optimized geometry

It has space group Cmcm (No. 63), with a = 5.607 Å, b = 12.160 Å, c = 5.576 Å, α = 90.00°, β = 90.00° and γ = 90.00°. Symmetry generates all atoms from Ag at (0.000, 0.126, 0.250), Pb at (0.000, 0.391, 0.250), Br at (0.000, 0.245, 0.750) and F at (0.247, 0.500, 0.000).

=====

No. 7
Material: HfTlAuSe3
Method: DFT, PBE
State: optimized geometry

It has space group Cmcm (No. 63), with a = 3.893 Å, b = 14.797 Å, c = 10.392 Å, α = 90.00°, β = 90.00° and γ = 90.00°. Symmetry generates all atoms from Hf at (0.000, 0.000, 0.000), Tl at (0.000, 0.242, 0.250), Au at (0.000, 0.443, 0.750), Se at (0.000, 0.068, 0.750) and Se at (0.000, 0.372, 0.526).

=====

No. 8
Material: PrSmNi2B2N2
Method: DFT, PBE
State: optimized geometry

It has space group P4mm (No. 99), with a = 3.631 Å, b = 3.631 Å, c = 7.553 Å, α = 90.00°, β = 90.00° and γ = 90.00°. Symmetry generates all atoms from Pr at (0.000, 0.000, 0.000), Sm at (0.500, 0.500, 0.658), Ni at (0.000, 0.500, 0.330), B at (0.000, 0.000, 0.480), B at (0.500, 0.500, 0.175), N at (0.000, 0.000, 0.672) and N at (0.500, 0.500, 0.982).

=====

No. 9
Material: Ag3F8
Method: DFT, PBE
State: optimized geometry

It has space group P2_1/c (No. 14), with a = 4.713 Å, b = 10.842 Å, c = 6.669 Å, α = 90.00°, β = 127.54° and γ = 90.00°. Symmetry generates all atoms from Ag at (0.000, 0.000, 0.000), Ag at (0.245, 0.185, 0.534), F at (0.072, 0.715, 0.774), F at (0.091, 0.024, 0.352), F at (0.431, 0.160, 0.226) and F at (0.463, 0.592, 0.641).

=====

No. 10
Material: Zr3SnAs
Method: DFT, PBE
State: optimized geometry

It has space group Cmcm (No. 63), with a = 3.926 Å, b = 11.487 Å, c = 9.951 Å, α = 90.00°, β = 90.00° and γ = 90.00°. Symmetry generates all atoms from Zr at (0.000, 0.054, 0.250), Zr at (0.000, 0.354, 0.060), Sn at (0.000, 0.253, 0.750) and As at (0.000, 0.000, 0.000).

=====

No. 11
Material: ZrTaNiAs
Method: DFT, PBE
State: optimized geometry

It has space group F-43m (No. 216), with a = 6.445 Å, b = 6.445 Å, c = 6.445 Å, α = 90.00°, β = 90.00° and γ = 90.00°. Symmetry generates all atoms from Zr at (0.000, 0.000, 0.000), Ta at (0.250, 0.250, 0.250), Ni at (0.250, 0.250, 0.750) and As at (0.000, 0.000, 0.500).

=====

No. 12
Material: NdGdGe
Method: DFT, PBE
State: optimized geometry

It has space group P6_3/mmc (No. 194), with a = 5.0552 Å, b = 5.0552 Å, c = 14.9549 Å, α = 90.00°, β = 90.00° and γ = 120.00°. Symmetry generates all atoms from Nd at (0.0000, 0.0000, 0.0000), Nd at (0.0000, 0.0000, 0.2500), Gd at (0.3333, 0.6667, 0.1099) and Ge at (0.3333, 0.6667, 0.6102).

=====

No. 13
Material: HfPbNOF
Method: DFT, PBE
State: optimized geometry

It has space group Pmm2 (No. 25), with a = 4.041 Å, b = 4.186 Å, c = 4.357 Å, α = 90.00°, β = 90.00° and γ = 90.00°. Symmetry generates all atoms from Hf at (0.000, 0.000, 0.000), Pb at (0.500, 0.500, 0.604), N at (0.000, 0.500, 0.916), O at (0.500, 0.000, 0.911) and F at (0.000, 0.000, 0.464).

=====

No. 14
Material: SmTc4Ge2
Method: DFT, PBE
State: optimized geometry

It has space group Cmmm (No. 65), with a = 4.156 Å, b = 14.375 Å, c = 4.122 Å, α = 90.00°, β = 90.00° and γ = 90.00°. Symmetry generates all atoms from Sm at (0.000, 0.000, 0.000), Tc at (0.000, 0.195, 0.500), Tc at (0.000, 0.301, 0.000) and Ge at (0.000, 0.412, 0.500).

=====

No. 15
Material: PaCoSi
Method: DFT, PBE
State: optimized geometry

It has space group F-43m (No. 216), with a = 6.147 Å, b = 6.147 Å, c = 6.147 Å, α = 90.00°, β = 90.00° and γ = 90.00°. Symmetry generates all atoms from Pa at (0.000, 0.000, 0.000), Co at (0.000, 0.000, 0.500) and Si at (0.250, 0.250, 0.750).

=====

No. 16
Material: TmSiPd2
Method: DFT, PBE
State: optimized geometry

It has space group P2_1/m (No. 11), with a = 5.001 Å, b = 4.345 Å, c = 6.604 Å, α = 90.00°, β = 100.76° and γ = 90.00°. Symmetry generates all atoms from Tm at (0.238, 0.250, 0.243), Si at (0.273, 0.250, 0.736), Pd at (0.189, 0.750, 0.527) and Pd at (0.318, 0.750, 0.965).

=====

No. 17
Material: LaAlSnPd2
Method: DFT, PBE
State: optimized geometry

It has space group P4/nmm (No. 129, origin choice 2), with a = 4.555 Å, b = 4.555 Å, c = 10.285 Å, α = 90.00°, β = 90.00° and γ = 90.00°. Symmetry generates all atoms from La at (0.250, 0.250, 0.239), Al at (0.250, 0.250, 0.891), Sn at (0.250, 0.750, 0.500), Pd at (0.250, 0.250, 0.652) and Pd at (0.250, 0.750, 0.000).

=====

No. 18
Material: Hf4GaPbC2
Method: DFT, PBE
State: optimized geometry

It has space group P-6m2 (No. 187), with a = 3.3290 Å, b = 3.3290 Å, c = 14.3732 Å, α = 90.00°, β = 90.00° and γ = 120.00°. Symmetry generates all atoms from Hf at (0.0000, 0.0000, 0.1559), Hf at (0.3333, 0.6667, 0.3261), Ga at (0.3333, 0.6667, 0.0000), Pb at (0.0000, 0.0000, 0.5000) and C at (0.6667, 0.3333, 0.2420).

=====

No. 19
Material: BaAgPt
Method: DFT, PBE
State: optimized geometry

It has space group F-43m (No. 216), with a = 7.137 Å, b = 7.137 Å, c = 7.137 Å, α = 90.00°, β = 90.00° and γ = 90.00°. Symmetry generates all atoms from Ba at (0.000, 0.000, 0.000), Ag at (0.000, 0.000, 0.500) and Pt at (0.250, 0.250, 0.750).

=====

No. 20
Material: GdHoCo2Si2
Method: DFT, PBE
State: optimized geometry

It has space group P4mm (No. 99), with a = 3.959 Å, b = 3.959 Å, c = 6.671 Å, α = 90.00°, β = 90.00° and γ = 90.00°. Symmetry generates all atoms from Gd at (0.000, 0.000, 0.000), Ho at (0.500, 0.500, 0.363), Co at (0.000, 0.500, 0.676), Si at (0.000, 0.000, 0.490) and Si at (0.500, 0.500, 0.861).

=====

| no. | uncorrected energy (eV per atom) | mass density (g/cm³) |
| --- | --- | --- |
| 1 | -7.4722 | 11.84 |
| 2 | -5.3666 | 11.44 |
| 3 | -4.8720 | 4.96 |
| 4 | -7.6694 | 10.73 |
| 5 | -8.2948 | 12.14 |
| 6 | -3.8030 | 7.56 |
| 7 | -5.0784 | 9.06 |
| 8 | -7.3031 | 7.64 |
| 9 | -3.1117 | 5.85 |
| 10 | -7.5447 | 6.92 |
| 11 | -7.4323 | 10.07 |
| 12 | -5.1406 | 7.51 |
| 13 | -7.7016 | 9.80 |
| 14 | -8.3157 | 9.27 |
| 15 | -7.2895 | 9.10 |
| 16 | -5.8835 | 9.65 |
| 17 | -5.4535 | 7.74 |
| 18 | -8.8270 | 12.22 |
| 19 | -3.8389 | 8.04 |
| 20 | -6.4568 | 7.88 |